Here is an optimized crystal structure of Tl3In4Hg3 from Alexandria. Energies are from GGA-PBE.

Final energy = -36.6 eV per cell
N(E_F) = 14.25 states/eV/cell
Space group = I-43d

a = 9.144 Å, b = 9.144 Å, c = 9.144 Å
α = 109.47°, β = 109.47°, γ = 109.47°
Sites, in units of the cell vectors:
Tl (0.125, 0.875, 0.250)
Tl (0.250, 0.125, 0.875)
Tl (0.375, 0.625, 0.750)
Tl (0.625, 0.750, 0.375)
Tl (0.750, 0.375, 0.625)
Tl (0.875, 0.250, 0.125)
In (0.000, 0.213, 0.500)
In (0.000, 0.713, 0.500)
In (0.213, 0.500, 0.000)
In (0.287, 0.287, 0.287)
In (0.500, 0.000, 0.213)
In (0.500, 0.000, 0.713)
In (0.713, 0.500, 0.000)
In (0.787, 0.787, 0.787)
Hg (0.125, 0.750, 0.875)
Hg (0.250, 0.625, 0.375)
Hg (0.375, 0.250, 0.625)
Hg (0.625, 0.375, 0.250)
Hg (0.750, 0.875, 0.125)
Hg (0.875, 0.125, 0.750)